Computed, not measured: crystalline TlInIr3 at its relaxed geometry at the PBE level of DFT.

Computed properties:
excess energy over the best structure of this formula in the dataset: 0.0 meV/atom
uncorrected energy: -4.53 eV/atom
energy of formation: 1.804 eV/atom

```
TlInIr3
1.0
4.898 0.000 0.000
0.000 4.898 0.000
0.000 0.000 4.898
Tl Ir In
1 3 1
Direct
0.500 0.500 0.500 Tl
0.000 0.500 0.000 Ir
0.000 0.000 0.500 Ir
0.500 0.000 0.000 Ir
0.000 0.000 0.000 In
```